1.
# PBE Ca3NdPt2, relaxed
# Formation enthalpy at 0 K in eV/f.u.: -4.6
# Spin magnetization in μB per atom: 0.000
# Space-group type: Pmc2_1, No. 26
data_Ca3NdPt2
_chemical_formula_sum 'Ca6 Nd2 Pt4'
_space_group_name_H-M_alt 'P 1'
_space_group_IT_number 1
_cell_length_a 4.547
_cell_length_b 7.593
_cell_length_c 9.288
_cell_angle_alpha 90.00
_cell_angle_beta 90.00
_cell_angle_gamma 90.00
loop_
_space_group_symop_operation_xyz
'x,y,z'
loop_
_atom_site_label
_atom_site_type_symbol
_atom_site_fract_x
_atom_site_fract_y
_atom_site_fract_z
_atom_site_occupancy
Pt1 Pt 0.500 0.739 0.857 1
Pt2 Pt 0.500 0.239 0.143 1
Pt3 Pt 0.000 0.254 0.627 1
Pt4 Pt 0.000 0.754 0.373 1
Ca1 Ca 0.500 0.146 0.825 1
Ca2 Ca 0.000 0.479 0.913 1
Ca3 Ca 0.000 0.979 0.087 1
Ca4 Ca 0.000 0.360 0.314 1
Ca5 Ca 0.000 0.860 0.686 1
Ca6 Ca 0.500 0.646 0.175 1
Nd1 Nd 0.500 0.522 0.585 1
Nd2 Nd 0.500 0.022 0.415 1


2.
# PBE CaNdPt, relaxed
# Formation enthalpy at 0 K in eV/f.u.: -2.1
# Spin magnetization in μB per atom: 0.000
# Space-group type: C2/m, No. 12
data_CaNdPt
_chemical_formula_sum 'Ca2 Nd2 Pt2'
_space_group_name_H-M_alt 'P 1'
_space_group_IT_number 1
_cell_length_a 3.624
_cell_length_b 7.248
_cell_length_c 7.051
_cell_angle_alpha 105.06
_cell_angle_beta 104.89
_cell_angle_gamma 90.05
loop_
_space_group_symop_operation_xyz
'x,y,z'
loop_
_atom_site_label
_atom_site_type_symbol
_atom_site_fract_x
_atom_site_fract_y
_atom_site_fract_z
_atom_site_occupancy
Pt1 Pt 0.939 0.821 0.645 1
Pt2 Pt 0.939 0.283 0.644 1
Nd1 Nd 0.570 0.117 0.906 1
Nd2 Nd 0.308 0.987 0.383 1
Ca1 Ca 0.563 0.615 0.894 1
Ca2 Ca 0.315 0.489 0.395 1